[1]
First-principles (PBE) data for crystalline Al4InAgSe8 at its relaxed geometry, as listed in Alexandria via LeMat-Bulk.

- Total magnetic moment: 0.00 μB per atom
- Formation energy (no corrections): -731 meV/atom
- SG: C2, No. 5

abc: 6.8263 6.8263 8.2564
angles: 90.27 90.27 105.66
With the nearest neighbours (Å) after each atom.
Sites, in units of the cell vectors:
Al  0.0000  0.0000  0.0000  4 Se 2.38-2.50
Al  0.0044  0.4769  0.2440  4 Se 2.38-2.48
Al  0.5231  0.9956  0.7560  4 Se 2.38-2.48
Al  0.5294  0.4706  0.5000  4 Se 2.37-2.48
In  0.0088  0.9912  0.5000  4 Se 2.65-2.67
Ag  0.5199  0.4801  0.0000  4 Se 2.65-2.66
Se  0.1155  0.3617  0.9969  2 Al 2.38, 1 Ag 2.66
Se  0.1449  0.8515  0.2331  2 Al 2.48-2.50, 1 In 2.67
Se  0.1485  0.8551  0.7669  2 Al 2.48-2.50, 1 In 2.67
Se  0.1529  0.3933  0.5007  2 Al 2.48, 1 In 2.65
Se  0.6067  0.8471  0.4993  2 Al 2.48, 1 In 2.65
Se  0.6383  0.8845  0.0031  2 Al 2.38, 1 Ag 2.66
Se  0.6474  0.3346  0.2662  2 Al 2.37-2.38, 1 Ag 2.65
Se  0.6654  0.3526  0.7338  2 Al 2.37-2.38, 1 Ag 2.65

[2]
First-principles (PBE) data for crystalline MnPAuSN at its relaxed geometry, as listed in Alexandria via LeMat-Bulk.

- Total magnetic moment: 0.50 μB per atom
- Energy above the most stable polymorph in this dataset: 0.099 eV/atom
- Formation energy (no corrections): 3 meV/atom
- SG: Cm, No. 8

abc: 5.1843 5.1843 5.6203
angles: 94.68 94.68 31.78
With the nearest neighbours (Å) after each atom.
Sites, in units of the cell vectors:
Mn  0.0000  0.0000  0.0000  1 N 1.96
P  0.2441  0.2441  0.9088  2 N 1.73
Au  0.3927  0.3927  0.5899  1 P 2.42, 1 S 2.45
S  0.5593  0.5593  0.2942  2 Mn 2.22, 1 Au 2.45
N  0.8085  0.8085  0.0526  2 P 1.73

[3]
First-principles (PBE) data for crystalline Tb5Dy2YEr at its relaxed geometry, as listed in Alexandria via LeMat-Bulk.

- Total magnetic moment: 0.00 μB per atom
- ΔH_f (0 K): 156.9 meV per atom
- SG: Cmc2_1, No. 36

abc: 10.3586 10.3586 10.5290
angles: 90.00 90.00 148.66
With the nearest neighbours (Å) after each atom.
Sites, in units of the cell vectors:
Tb  0.0173  0.9827  0.5000  2 Y 3.21, 3 Dy 3.39-3.54
Tb  0.2798  0.7202  0.7893  1 Y 3.04, 1 Dy 3.32, 2 Tb 3.39
Tb  0.2998  0.7002  0.1873  4 Tb 3.39-3.74, 1 Y 3.46, 3 Dy 3.48-3.77, 3 Er 3.48-3.77
Tb  0.3872  0.6128  0.5015  6 Tb 3.50-3.81, 4 Dy 3.55-3.59, 1 Er 3.75
Tb  0.4798  0.5202  0.2187  2 Y 3.15-3.28, 2 Dy 3.45, 2 Tb 3.50
Tb  0.5202  0.4798  0.7187  2 Y 3.15-3.28, 2 Dy 3.45, 2 Tb 3.50
Tb  0.6128  0.3872  0.0015  6 Tb 3.50-3.81, 4 Dy 3.55-3.59, 1 Er 3.75
Tb  0.7002  0.2998  0.6873  4 Tb 3.39-3.74, 1 Y 3.46, 3 Dy 3.48-3.77, 3 Er 3.48-3.77
Tb  0.7202  0.2798  0.2893  1 Y 3.04, 1 Dy 3.32, 2 Tb 3.39
Tb  0.9827  0.0173  0.0000  2 Y 3.21, 3 Dy 3.39-3.54
Dy  0.1114  0.8886  0.2150  1 Er 3.39, 7 Tb 3.42-3.77, 2 Y 3.66
Dy  0.1135  0.8865  0.7946  9 Tb 3.32-3.65, 1 Er 3.63
Dy  0.8865  0.1135  0.2946  9 Tb 3.32-3.65, 1 Er 3.63
Dy  0.8886  0.1114  0.7150  1 Er 3.39, 7 Tb 3.42-3.77, 2 Y 3.66
Y  0.4112  0.5888  0.9355  5 Tb 3.04-3.28
Y  0.5888  0.4112  0.4355  5 Tb 3.04-3.28
Er  0.1992  0.8008  0.4905  2 Dy 3.39-3.63, 8 Tb 3.48-3.77, 2 Y 3.61
Er  0.8008  0.1992  0.9905  2 Dy 3.39-3.63, 8 Tb 3.48-3.77, 2 Y 3.61

[4]
First-principles (PBE) data for crystalline MoP2SI at its relaxed geometry, as listed in Alexandria via LeMat-Bulk.

- Total magnetic moment: 0.54 μB per atom
- Energy above the most stable polymorph in this dataset: 1.494 eV/atom
- Formation energy (no corrections): 1845 meV/atom
- SG: P4/mmm, No. 123

abc: 5.1092 5.1092 4.9427
angles: 90.00 90.00 90.00
With the nearest neighbours (Å) after each atom.
Sites, in units of the cell vectors:
Mo  0.0000  0.0000  0.0000  8 P 3.55, 4 S 3.61
P  0.0000  0.5000  0.5000  2 I 2.55
P  0.5000  0.0000  0.5000  2 I 2.55
S  0.5000  0.5000  0.0000  2 I 2.47
I  0.5000  0.5000  0.5000  2 S 2.47, 4 P 2.55

[5]
First-principles (PBE) data for crystalline Tb2Nd5Ho2 at its relaxed geometry, as listed in Alexandria via LeMat-Bulk.

- Total magnetic moment: 0.00 μB per atom
- Energy above the most stable polymorph in this dataset: 0.152 eV/atom
- ΔH_f (0 K): 168.7 meV per atom
- SG: Ima2, No. 46

abc: 10.4456 10.4456 10.4456
angles: 86.77 103.56 145.27
With the nearest neighbours (Å) after each atom.
Sites, in units of the cell vectors:
Tb  0.0000  0.0000  0.0000  2 Nd 3.27, 2 Ho 3.47
Tb  0.0000  0.5000  0.5000  2 Nd 3.27, 2 Ho 3.47
Tb  0.0758  0.8822  0.6936  5 Nd 3.34-3.62, 2 Ho 3.49
Tb  0.1886  0.3822  0.3064  5 Nd 3.34-3.62, 2 Ho 3.49
Nd  0.2113  0.3621  0.7520  5 Nd 3.38-3.62, 2 Ho 3.53-3.61, 1 Tb 3.71
Nd  0.2113  0.9593  0.3491  5 Nd 3.38-3.62, 2 Ho 3.53-3.61, 1 Tb 3.71
Nd  0.2534  0.7123  0.8288  4 Nd 3.22-3.54, 2 Tb 3.27-3.53, 3 Ho 3.43-3.60
Nd  0.2534  0.9246  0.0410  4 Nd 3.22-3.54, 2 Tb 3.27-3.53, 3 Ho 3.43-3.60
Nd  0.4812  0.4075  0.5737  3 Tb 3.34-3.62, 4 Nd 3.44-3.65, 2 Ho 3.45
Nd  0.6102  0.4593  0.2480  5 Nd 3.38-3.62, 2 Ho 3.53-3.61, 1 Tb 3.71
Nd  0.6102  0.8621  0.6509  5 Nd 3.38-3.62, 2 Ho 3.53-3.61, 1 Tb 3.71
Nd  0.8338  0.9075  0.4263  3 Tb 3.34-3.62, 4 Nd 3.44-3.65, 2 Ho 3.45
Nd  0.8836  0.2123  0.9590  4 Nd 3.22-3.54, 2 Tb 3.27-3.53, 3 Ho 3.43-3.60
Nd  0.8836  0.4246  0.1712  4 Nd 3.22-3.54, 2 Tb 3.27-3.53, 3 Ho 3.43-3.60
Ho  0.5140  0.6990  0.0856  6 Nd 3.43-3.61, 2 Tb 3.47-3.49, 1 Ho 3.48
Ho  0.5140  0.9283  0.3150  6 Nd 3.43-3.61, 2 Tb 3.47-3.49, 1 Ho 3.48
Ho  0.6133  0.1990  0.6850  6 Nd 3.43-3.61, 2 Tb 3.47-3.49, 1 Ho 3.48
Ho  0.6133  0.4283  0.9144  6 Nd 3.43-3.61, 2 Tb 3.47-3.49, 1 Ho 3.48

[6]
First-principles (PBE) data for crystalline CsNa2Te2 at its relaxed geometry, as listed in Alexandria via LeMat-Bulk.

- Total magnetic moment: 0.00 μB per atom
- Energy above the most stable polymorph in this dataset: 0.043 eV/atom
- Formation energy (no corrections): -831 meV/atom
- SG: P4/mbm, No. 127

abc: 9.5519 9.5519 3.6587
angles: 90.00 90.00 90.00
With the nearest neighbours (Å) after each atom.
Sites, in units of the cell vectors:
Cs  0.0000  0.0000  0.0000  2 Cs 3.66, 4 Na 3.79, 8 Te 3.99
Cs  0.5000  0.5000  0.0000  2 Cs 3.66, 4 Na 3.79, 8 Te 3.99
Na  0.1222  0.3778  0.0000  3 Na 3.30-3.66, 6 Te 3.35-3.37
Na  0.3778  0.8778  0.0000  3 Na 3.30-3.66, 6 Te 3.35-3.37
Na  0.6222  0.1222  0.0000  3 Na 3.30-3.66, 6 Te 3.35-3.37
Na  0.8778  0.6222  0.0000  3 Na 3.30-3.66, 6 Te 3.35-3.37
Te  0.1702  0.6702  0.5000  6 Na 3.35-3.37, 2 Te 3.66
Te  0.3298  0.1702  0.5000  6 Na 3.35-3.37, 2 Te 3.66
Te  0.6702  0.8298  0.5000  6 Na 3.35-3.37, 2 Te 3.66
Te  0.8298  0.3298  0.5000  6 Na 3.35-3.37, 2 Te 3.66

[7]
First-principles (PBE) data for crystalline ReMo2Ru at its relaxed geometry, as listed in Alexandria via LeMat-Bulk.

- Total magnetic moment: 0.00 μB per atom
- Energy above the most stable polymorph in this dataset: 0.091 eV/atom
- ΔH_f (0 K): 201.8 meV per atom
- SG: P4/mmm, No. 123

abc: 4.4732 4.4732 3.0563
angles: 90.00 90.00 90.00
With the nearest neighbours (Å) after each atom.
Sites, in units of the cell vectors:
Re  0.0000  0.0000  0.0000  8 Mo 2.71
Mo  0.0000  0.5000  0.5000  4 Ru 2.71, 4 Re 2.71
Mo  0.5000  0.0000  0.5000  4 Ru 2.71, 4 Re 2.71
Ru  0.5000  0.5000  0.0000  8 Mo 2.71

[8]
First-principles (PBE) data for crystalline MgNbMo2 at its relaxed geometry, as listed in Alexandria via LeMat-Bulk.

- Total magnetic moment: 0.00 μB per atom
- ΔH_f (0 K): 882.2 meV per atom
- SG: I-42d, No. 122

abc: 5.8468 5.8468 5.8468
angles: 102.99 102.99 123.41
With the nearest neighbours (Å) after each atom.
Sites, in units of the cell vectors:
Mg  0.0000  0.0000  0.0000  4 Mo 2.75, 2 Nb 2.77
Mg  0.7500  0.2500  0.5000  4 Mo 2.75, 2 Nb 2.77
Nb  0.2500  0.7500  0.5000  4 Mo 2.58, 2 Mg 2.77
Nb  0.5000  0.5000  0.0000  4 Mo 2.58, 2 Mg 2.77
Mo  0.1419  0.6250  0.0169  2 Nb 2.58, 2 Mg 2.75, 2 Mo 2.78
Mo  0.3750  0.3919  0.5169  2 Nb 2.58, 2 Mg 2.75, 2 Mo 2.78
Mo  0.6081  0.1250  0.9831  2 Nb 2.58, 2 Mg 2.75, 2 Mo 2.78
Mo  0.8750  0.8581  0.4831  2 Nb 2.58, 2 Mg 2.75, 2 Mo 2.78